{"formula": "RbLi3Zn", "functional": "meta-GGA SCAN", "state": "PBEsol geometry", "de_polymorph_mev_per_atom": 0, "delta_e_f_ev_per_atom": 0.1195, "space_group": "Pm-3m (221)", "lattice": [[5.2735, 0.0000, 0.0000], [0.0000, 5.2735, 0.0000], [0.0000, 0.0000, 5.2735]], "species": ["Rb", "Li", "Li", "Li", "Zn"], "fractional_positions": [[0.0000, 0.0000, 0.0000], [0.0000, 0.5000, 0.5000], [0.5000, 0.0000, 0.5000], [0.5000, 0.5000, 0.0000], [0.5000, 0.5000, 0.5000]]}

{"formula": "Ba2AlIr", "functional": "meta-GGA SCAN", "state": "PBEsol geometry", "delta_e_f_ev_per_atom": -0.4466, "space_group": "Cm (8)", "lattice": [[3.7632, -2.1658, 0.0000], [3.7632, 2.1658, 0.0000], [-2.4300, 0.0000, 8.6473]], "species": ["Ba", "Ba", "Al", "Ir"], "fractional_positions": [[0.0000, 0.0000, 0.0000], [0.1658, 0.1658, 0.5151], [0.4157, 0.4157, 0.2574], [0.7491, 0.7491, 0.2590]]}

{"formula": "TlTcMo", "functional": "meta-GGA SCAN", "state": "PBEsol geometry", "delta_e_f_ev_per_atom": 0.6455, "space_group": "P3m1 (156)", "lattice": [[4.3963, 0.0000, 0.0000], [-2.1982, 3.8073, 0.0000], [0.0000, 0.0000, 3.0587]], "species": ["Tl", "Tc", "Mo"], "fractional_positions": [[0.0000, 0.0000, 0.0000], [0.3333, 0.6667, 0.5657], [0.6667, 0.3333, 0.4502]]}

{"formula": "K3Ta2Ag3S8", "functional": "meta-GGA SCAN", "state": "PBEsol geometry", "raw_formation_energy_ev_per_atom": -1.03, "space_group": "C2/c (15)", "lattice": [[12.1376, -2.9313, 0.0000], [12.1376, 2.9313, 0.0000], [-6.6743, 0.0000, 11.9766]], "species": ["K", "K", "K", "K", "K", "K", "Ta", "Ta", "Ta", "Ta", "Ag", "Ag", "Ag", "Ag", "Ag", "Ag", "S", "S", "S", "S", "S", "S", "S", "S", "S", "S", "S", "S", "S", "S", "S", "S"], "fractional_positions": [[0.0000, 0.0000, 0.0000], [0.0000, 0.0000, 0.5000], [0.2091, 0.3965, 0.8919], [0.3965, 0.2091, 0.3919], [0.6035, 0.7909, 0.6081], [0.7909, 0.6035, 0.1081], [0.1833, 0.5602, 0.2201], [0.4398, 0.8167, 0.2799], [0.5602, 0.1833, 0.7201], [0.8167, 0.4398, 0.7799], [0.0588, 0.6832, 0.7107], [0.3165, 0.6835, 0.2500], [0.3168, 0.9412, 0.7893], [0.6832, 0.0588, 0.2107], [0.6835, 0.3165, 0.7500], [0.9412, 0.3168, 0.2893], [0.0034, 0.8028, 0.1129], [0.0746, 0.2429, 0.6796], [0.1972, 0.9966, 0.3871], [0.2429, 0.0746, 0.1796], [0.2613, 0.3126, 0.6039], [0.3126, 0.2613, 0.1039], [0.4173, 0.4884, 0.8484], [0.4884, 0.4173, 0.3484], [0.5116, 0.5827, 0.6516], [0.5827, 0.5116, 0.1516], [0.6874, 0.7387, 0.8961], [0.7387, 0.6874, 0.3961], [0.7571, 0.9254, 0.8204], [0.8028, 0.0034, 0.6129], [0.9254, 0.7571, 0.3204], [0.9966, 0.1972, 0.8871]]}

{"formula": "YIrS3", "functional": "meta-GGA SCAN", "state": "PBEsol geometry", "raw_formation_energy_ev_per_atom": 0.63, "space_group": "Pm-3m (221)", "lattice": [[5.0532, 0.0000, 0.0000], [0.0000, 5.0532, 0.0000], [0.0000, 0.0000, 5.0532]], "species": ["Y", "Ir", "S", "S", "S"], "fractional_positions": [[0.0000, 0.0000, 0.0000], [0.5000, 0.5000, 0.5000], [0.0000, 0.0000, 0.5000], [0.0000, 0.5000, 0.0000], [0.5000, 0.0000, 0.0000]]}

{"formula": "NbTe2S", "functional": "meta-GGA SCAN", "state": "PBEsol geometry", "raw_formation_energy_ev_per_atom": 0.41, "space_group": "I-42d (122)", "lattice": [[-3.4131, 3.4131, 5.0714], [3.4131, -3.4131, 5.0714], [3.4131, 3.4131, -5.0714]], "species": ["Nb", "Nb", "Te", "Te", "Te", "Te", "S", "S"], "fractional_positions": [[0.0000, 0.0000, 0.0000], [0.7500, 0.2500, 0.5000], [0.1054, 0.1250, 0.4804], [0.3750, 0.8946, 0.0196], [0.6446, 0.6250, 0.5196], [0.8750, 0.3554, 0.9804], [0.2500, 0.7500, 0.5000], [0.5000, 0.5000, 0.0000]]}

{"formula": "Ba2YCu", "functional": "meta-GGA SCAN", "state": "PBEsol geometry", "delta_e_f_ev_per_atom": 0.5750, "space_group": "Fm-3m (225)", "lattice": [[0.0000, 4.1026, 4.1026], [4.1026, 0.0000, 4.1026], [4.1026, 4.1026, 0.0000]], "species": ["Ba", "Ba", "Y", "Cu"], "fractional_positions": [[0.2500, 0.2500, 0.2500], [0.7500, 0.7500, 0.7500], [0.0000, 0.0000, 0.0000], [0.5000, 0.5000, 0.5000]]}

{"formula": "CeOsRu", "functional": "meta-GGA SCAN", "state": "PBEsol geometry", "delta_e_f_ev_per_atom": -0.3240, "space_group": "Imma (74)", "lattice": [[-2.5280, 2.7107, 3.8507], [2.5280, -2.7107, 3.8507], [2.5280, 2.7107, -3.8507]], "species": ["Ce", "Ce", "Os", "Os", "Ru", "Ru"], "fractional_positions": [[0.3769, 0.1269, 0.2500], [0.6231, 0.8731, 0.7500], [0.0000, 0.0000, 0.5000], [0.0000, 0.5000, 0.0000], [0.0000, 0.5000, 0.5000], [0.5000, 0.5000, 0.0000]]}

{"formula": "LaCr2Mo", "functional": "meta-GGA SCAN", "state": "PBEsol geometry", "de_polymorph_mev_per_atom": 267, "delta_e_f_ev_per_atom": 0.5936, "space_group": "Pm (6)", "lattice": [[2.9276, 0.0000, 0.0000], [0.0000, 3.5750, 0.0000], [-1.3348, 0.0000, 6.7142]], "species": ["La", "Cr", "Cr", "Mo"], "fractional_positions": [[0.0000, 0.0000, 0.0000], [0.1926, 0.5000, 0.6739], [0.4505, 0.0000, 0.5308], [0.7566, 0.5000, 0.3521]]}

{"formula": "CuNi2Pb", "functional": "meta-GGA SCAN", "state": "PBEsol geometry", "delta_e_f_ev_per_atom": 0.2843, "space_group": "I-4m2 (119)", "lattice": [[-1.8771, 1.8771, 3.8416], [1.8771, -1.8771, 3.8416], [1.8771, 1.8771, -3.8416]], "species": ["Cu", "Ni", "Ni", "Pb"], "fractional_positions": [[0.0000, 0.0000, 0.0000], [0.2500, 0.7500, 0.5000], [0.5000, 0.5000, 0.0000], [0.7500, 0.2500, 0.5000]]}

{"formula": "ZrAl2Te", "functional": "meta-GGA SCAN", "state": "PBEsol geometry", "raw_formation_energy_ev_per_atom": -0.14, "space_group": "Cmmm (65)", "lattice": [[2.8231, -4.1547, 0.0000], [2.8231, 4.1547, 0.0000], [0.0000, 0.0000, 3.4335]], "species": ["Zr", "Al", "Al", "Te"], "fractional_positions": [[0.0000, 0.0000, 0.0000], [0.0000, 0.5000, 0.5000], [0.5000, 0.0000, 0.5000], [0.5000, 0.5000, 0.0000]]}

{"formula": "KFePt2", "functional": "meta-GGA SCAN", "state": "PBEsol geometry", "de_polymorph_mev_per_atom": 0, "delta_e_f_ev_per_atom": 0.0161, "space_group": "C2/m (12)", "lattice": [[3.7746, -1.3553, 0.0000], [3.7746, 1.3553, 0.0000], [-0.5645, 0.0000, 7.6221]], "species": ["K", "Fe", "Pt", "Pt"], "fractional_positions": [[0.0000, 0.0000, 0.0000], [0.5000, 0.5000, 0.5000], [0.2388, 0.2388, 0.6740], [0.7612, 0.7612, 0.3260]]}

{"formula": "Li2TcS", "functional": "meta-GGA SCAN", "state": "PBEsol geometry", "raw_formation_energy_ev_per_atom": -0.07, "space_group": "I-42d (122)", "lattice": [[-3.5325, 3.5325, 2.2305], [3.5325, -3.5325, 2.2305], [3.5325, 3.5325, -2.2305]], "species": ["Li", "Li", "Li", "Li", "Tc", "Tc", "S", "S"], "fractional_positions": [[0.0713, 0.1250, 0.4463], [0.3750, 0.9287, 0.0537], [0.6787, 0.6250, 0.5537], [0.8750, 0.3213, 0.9463], [0.2500, 0.7500, 0.5000], [0.5000, 0.5000, 0.0000], [0.0000, 0.0000, 0.0000], [0.7500, 0.2500, 0.5000]]}

{"formula": "Mg2TlCl", "functional": "meta-GGA SCAN", "state": "PBEsol geometry", "de_polymorph_mev_per_atom": 0, "raw_formation_energy_ev_per_atom": -0.61, "space_group": "R-3m (166)", "lattice": [[1.8349, 1.0594, 7.8715], [-1.8349, 1.0594, 7.8715], [0.0000, -2.1188, 7.8715]], "species": ["Mg", "Mg", "Tl", "Cl"], "fractional_positions": [[0.2484, 0.2484, 0.2484], [0.7516, 0.7516, 0.7516], [0.0000, 0.0000, 0.0000], [0.5000, 0.5000, 0.5000]]}

{"formula": "ZrTa2Ir", "functional": "meta-GGA SCAN", "state": "PBEsol geometry", "delta_e_f_ev_per_atom": -0.3637, "space_group": "Imm2 (44)", "lattice": [[-1.6629, 2.2781, 4.5737], [1.6629, -2.2781, 4.5737], [1.6629, 2.2781, -4.5737]], "species": ["Zr", "Ta", "Ta", "Ir"], "fractional_positions": [[0.0000, 0.0000, 0.0000], [0.4871, 0.4871, 0.0000], [0.7404, 0.2404, 0.5000], [0.2478, 0.7478, 0.5000]]}

{"formula": "CaMg3Cu2", "functional": "meta-GGA SCAN", "state": "PBEsol geometry", "delta_e_f_ev_per_atom": -0.0686, "space_group": "P6_3/mmc (194)", "lattice": [[4.5796, 0.0000, 0.0000], [-2.2898, 3.9661, 0.0000], [0.0000, 0.0000, 13.1693]], "species": ["Ca", "Ca", "Mg", "Mg", "Mg", "Mg", "Mg", "Mg", "Cu", "Cu", "Cu", "Cu"], "fractional_positions": [[0.0000, 0.0000, 0.2500], [0.0000, 0.0000, 0.7500], [0.0000, 0.0000, 0.0000], [0.0000, 0.0000, 0.5000], [0.3333, 0.6667, 0.0937], [0.3333, 0.6667, 0.4063], [0.6667, 0.3333, 0.5937], [0.6667, 0.3333, 0.9063], [0.3333, 0.6667, 0.6131], [0.3333, 0.6667, 0.8869], [0.6667, 0.3333, 0.1131], [0.6667, 0.3333, 0.3869]]}

{"formula": "Ti2ZnIr2", "functional": "meta-GGA SCAN", "state": "PBEsol geometry", "delta_e_f_ev_per_atom": -0.7831, "space_group": "P4/mbm (127)", "lattice": [[7.2863, 0.0000, 0.0000], [0.0000, 7.2863, 0.0000], [0.0000, 0.0000, 2.9122]], "species": ["Ti", "Ti", "Ti", "Ti", "Zn", "Zn", "Ir", "Ir", "Ir", "Ir"], "fractional_positions": [[0.1581, 0.3419, 0.0000], [0.3419, 0.8419, 0.0000], [0.6581, 0.1581, 0.0000], [0.8419, 0.6581, 0.0000], [0.0000, 0.0000, 0.5000], [0.5000, 0.5000, 0.5000], [0.1398, 0.6398, 0.5000], [0.3602, 0.1398, 0.5000], [0.6398, 0.8602, 0.5000], [0.8602, 0.3602, 0.5000]]}

{"formula": "KRbTc2", "functional": "meta-GGA SCAN", "state": "PBEsol geometry", "delta_e_f_ev_per_atom": 2.2304, "space_group": "Fm-3m (225)", "lattice": [[0.0000, 3.7941, 3.7941], [3.7941, 0.0000, 3.7941], [3.7941, 3.7941, 0.0000]], "species": ["K", "Rb", "Tc", "Tc"], "fractional_positions": [[0.0000, 0.0000, 0.0000], [0.5000, 0.5000, 0.5000], [0.2500, 0.2500, 0.2500], [0.7500, 0.7500, 0.7500]]}

{"formula": "Tl2CdCu", "functional": "meta-GGA SCAN", "state": "PBEsol geometry", "de_polymorph_mev_per_atom": 85, "delta_e_f_ev_per_atom": 0.2700, "space_group": "P2/m (10)", "lattice": [[3.6264, 0.0000, 0.0000], [0.0000, 4.0494, 0.0000], [-1.0457, 0.0000, 6.0704]], "species": ["Tl", "Tl", "Cd", "Cu"], "fractional_positions": [[0.0985, 0.0000, 0.2679], [0.9015, 0.0000, 0.7321], [0.5000, 0.5000, 0.0000], [0.5000, 0.5000, 0.5000]]}

{"formula": "InCu2Te", "functional": "meta-GGA SCAN", "state": "PBEsol geometry", "de_polymorph_mev_per_atom": 84, "raw_formation_energy_ev_per_atom": 0.16, "space_group": "P4/mmm (123)", "lattice": [[3.7749, 0.0000, 0.0000], [0.0000, 3.7749, 0.0000], [0.0000, 0.0000, 5.4200]], "species": ["In", "Cu", "Cu", "Te"], "fractional_positions": [[0.0000, 0.0000, 0.0000], [0.0000, 0.0000, 0.5000], [0.5000, 0.5000, 0.0000], [0.5000, 0.5000, 0.5000]]}

{"formula": "AlP2O", "functional": "meta-GGA SCAN", "state": "PBEsol geometry", "raw_formation_energy_ev_per_atom": 0.48, "space_group": "Fm-3m (225)", "lattice": [[0.0000, 2.9249, 2.9249], [2.9249, 0.0000, 2.9249], [2.9249, 2.9249, 0.0000]], "species": ["Al", "P", "P", "O"], "fractional_positions": [[0.0000, 0.0000, 0.0000], [0.2500, 0.2500, 0.2500], [0.7500, 0.7500, 0.7500], [0.5000, 0.5000, 0.5000]]}

{"formula": "MgTiH4", "functional": "meta-GGA SCAN", "state": "PBEsol geometry", "final_energy_ev_per_cell": -36.9, "space_group": "P4/mmm (123)", "lattice": [[3.1311, 0.0000, 0.0000], [0.0000, 3.1311, 0.0000], [0.0000, 0.0000, 4.6394]], "species": ["Mg", "Ti", "H", "H", "H", "H"], "fractional_positions": [[0.0000, 0.0000, 0.0000], [0.5000, 0.5000, 0.5000], [0.0000, 0.5000, 0.2675], [0.0000, 0.5000, 0.7325], [0.5000, 0.0000, 0.2675], [0.5000, 0.0000, 0.7325]]}

{"formula": "CaBeTl2", "functional": "meta-GGA SCAN", "state": "PBEsol geometry", "de_polymorph_mev_per_atom": 108, "delta_e_f_ev_per_atom": -0.0115, "space_group": "P2/m (10)", "lattice": [[3.6506, 0.0000, 0.0000], [0.0000, 4.2730, 0.0000], [-1.2549, 0.0000, 6.0054]], "species": ["Ca", "Be", "Tl", "Tl"], "fractional_positions": [[0.0000, 0.0000, 0.0000], [0.5000, 0.0000, 0.5000], [0.3512, 0.5000, 0.7137], [0.6488, 0.5000, 0.2863]]}

{"formula": "Zn2PW", "functional": "meta-GGA SCAN", "state": "PBEsol geometry", "delta_e_f_ev_per_atom": 0.3732, "space_group": "Pmmm (47)", "lattice": [[3.0495, 0.0000, 0.0000], [0.0000, 3.9627, 0.0000], [0.0000, 0.0000, 4.6148]], "species": ["Zn", "Zn", "P", "W"], "fractional_positions": [[0.0000, 0.0000, 0.0000], [0.5000, 0.5000, 0.0000], [0.0000, 0.5000, 0.5000], [0.5000, 0.0000, 0.5000]]}

{"formula": "Zr2MoPt", "functional": "meta-GGA SCAN", "state": "PBEsol geometry", "delta_e_f_ev_per_atom": -0.2174, "space_group": "P4mm (99)", "lattice": [[2.8131, 0.0000, 0.0000], [0.0000, 2.8131, 0.0000], [0.0000, 0.0000, 9.1433]], "species": ["Zr", "Zr", "Mo", "Pt"], "fractional_positions": [[0.0000, 0.0000, 0.0000], [0.5000, 0.5000, 0.3015], [0.0000, 0.0000, 0.5569], [0.5000, 0.5000, 0.7622]]}

{"formula": "FePbIO2", "functional": "meta-GGA SCAN", "state": "PBEsol geometry", "de_polymorph_mev_per_atom": 496, "raw_formation_energy_ev_per_atom": 0.21, "space_group": "P4/mmm (123)", "lattice": [[4.1122, 0.0000, 0.0000], [0.0000, 4.1122, 0.0000], [0.0000, 0.0000, 6.5212]], "species": ["Fe", "Pb", "I", "O", "O"], "fractional_positions": [[0.0000, 0.0000, 0.0000], [0.5000, 0.5000, 0.5000], [0.5000, 0.5000, 0.0000], [0.0000, 0.5000, 0.5000], [0.5000, 0.0000, 0.5000]]}

{"formula": "BeCdHg2", "functional": "meta-GGA SCAN", "state": "PBEsol geometry", "de_polymorph_mev_per_atom": 245, "delta_e_f_ev_per_atom": 0.3714, "space_group": "P4/mmm (123)", "lattice": [[4.3575, 0.0000, 0.0000], [0.0000, 4.3575, 0.0000], [0.0000, 0.0000, 3.9068]], "species": ["Be", "Cd", "Hg", "Hg"], "fractional_positions": [[0.0000, 0.0000, 0.0000], [0.5000, 0.5000, 0.0000], [0.0000, 0.5000, 0.5000], [0.5000, 0.0000, 0.5000]]}